# Co9Sb | OQMD via LeMat-Bulk | PBE | relaxed
# Total moment, Bohr magnetons per cell: 28.122
# VASP energy, eV for the cell shown: -133.89
data_Co9Sb
_chemical_formula_sum 'Co18 Sb2'
_cell_length_a 2.612
_cell_length_b 3.375
_cell_length_c 33.220
_cell_angle_alpha 90.00
_cell_angle_beta 90.00
_cell_angle_gamma 90.00
_space_group_name_H-M_alt 'P m m n'
_space_group_IT_number 59
loop_
_space_group_symop_operation_xyz
'x,y,z'
'-x,-y,-z'
'-x+1/2,-y+1/2,z'
'x+1/2,y+1/2,-z'
'x+1/2,-y,-z'
'-x+1/2,y,z'
'-x,y+1/2,-z'
'x,-y+1/2,z'
loop_
_atom_site_label
_atom_site_fract_x
_atom_site_fract_y
_atom_site_fract_z
Co1 0.250 0.250 0.019
Co2 0.250 0.250 0.093
Co3 0.250 0.250 0.167
Co4 0.250 0.250 0.240
Co5 0.250 0.250 0.314
Co6 0.250 0.250 0.722
Co7 0.250 0.250 0.795
Co8 0.250 0.250 0.870
Co9 0.250 0.250 0.944
Sb1 0.250 0.250 0.637

# CoSb | OQMD via LeMat-Bulk | PBE | relaxed
# Total moment, Bohr magnetons per cell: 0.002
# VASP energy, eV for the cell shown: -10.64
data_CoSb
_chemical_formula_sum 'Co1 Sb1'
_cell_length_a 3.178
_cell_length_b 3.178
_cell_length_c 3.178
_cell_angle_alpha 90.00
_cell_angle_beta 90.00
_cell_angle_gamma 90.00
_space_group_name_H-M_alt 'P m -3 m'
_space_group_IT_number 221
_space_group_name_Hall '-P 4 2 3'
loop_
_atom_site_label
_atom_site_fract_x
_atom_site_fract_y
_atom_site_fract_z
Co1 0.000 0.000 0.000
Sb1 0.500 0.500 0.500

# CoSb | OQMD via LeMat-Bulk | PBE | relaxed
# Total moment, Bohr magnetons per cell: 0.024
# VASP energy, eV for the cell shown: -41.70
data_CoSb
_chemical_formula_sum 'Co4 Sb4'
_cell_length_a 5.651
_cell_length_b 5.651
_cell_length_c 5.651
_cell_angle_alpha 90.00
_cell_angle_beta 90.00
_cell_angle_gamma 90.00
_space_group_name_H-M_alt 'F -4 3 m'
_space_group_IT_number 216
_space_group_name_Hall 'F -4 2 3'
loop_
_atom_site_label
_atom_site_fract_x
_atom_site_fract_y
_atom_site_fract_z
Co1 0.000 0.000 0.000
Sb1 0.250 0.250 0.750

# CoSb | OQMD via LeMat-Bulk | PBE | relaxed
# Total moment, Bohr magnetons per cell: 0.006
# VASP energy, eV for the cell shown: -45.12
data_CoSb
_chemical_formula_sum 'Co4 Sb4'
_cell_length_a 5.057
_cell_length_b 3.838
_cell_length_c 7.426
_cell_angle_alpha 90.00
_cell_angle_beta 90.00
_cell_angle_gamma 90.00
_space_group_name_H-M_alt 'P m m a'
_space_group_IT_number 51
loop_
_space_group_symop_operation_xyz
'x,y,z'
'-x,-y,-z'
'-x+1/2,-y,z'
'x+1/2,y,-z'
'x+1/2,-y,-z'
'-x+1/2,y,z'
'-x,y,-z'
'x,-y,z'
loop_
_atom_site_label
_atom_site_fract_x
_atom_site_fract_y
_atom_site_fract_z
Co1 0.000 0.000 0.000
Co2 0.250 0.500 0.180
Sb1 0.250 0.000 0.391
Sb2 0.250 0.500 0.833

# ScCo3Sb4 | OQMD via LeMat-Bulk | PBE | relaxed
# Total moment, Bohr magnetons per cell: 1.221
# VASP energy, eV for the cell shown: -46.01
data_ScCo3Sb4
_chemical_formula_sum 'Sc1 Co3 Sb4'
_cell_length_a 5.504
_cell_length_b 3.986
_cell_length_c 6.951
_cell_angle_alpha 90.00
_cell_angle_beta 90.16
_cell_angle_gamma 90.00
_space_group_name_H-M_alt 'P 1 m 1'
_space_group_IT_number 6
loop_
_space_group_symop_operation_xyz
'x,y,z'
'x,-y,z'
loop_
_atom_site_label
_atom_site_fract_x
_atom_site_fract_y
_atom_site_fract_z
Sc1 0.000 0.000 0.000
Co1 0.000 0.500 0.510
Co2 0.499 0.500 0.502
Co3 0.501 0.000 0.005
Sb1 0.264 0.000 0.358
Sb2 0.302 0.500 0.823
Sb3 0.705 0.500 0.187
Sb4 0.730 0.000 0.648

# ScCo2Sb | OQMD via LeMat-Bulk | PBE | relaxed
# Total moment, Bohr magnetons per cell: 2.090
# VASP energy, eV for the cell shown: -98.02
data_ScCo2Sb
_chemical_formula_sum 'Sc4 Co8 Sb4'
_cell_length_a 6.274
_cell_length_b 6.274
_cell_length_c 6.274
_cell_angle_alpha 90.00
_cell_angle_beta 90.00
_cell_angle_gamma 90.00
_space_group_name_H-M_alt 'F -4 3 m'
_space_group_IT_number 216
_space_group_name_Hall 'F -4 2 3'
loop_
_atom_site_label
_atom_site_fract_x
_atom_site_fract_y
_atom_site_fract_z
Sc1 0.000 0.000 0.000
Co1 0.000 0.000 0.500
Co2 0.250 0.250 0.250
Sb1 0.250 0.250 0.750

Question: Which of these has the lowest total moment?
Answer: number 2